Entry from Alexandria via LeMat-Bulk: an optimized crystal structure of CaCoC2Cl (PBE-GGA).

Output
Formation energy from raw total energies: 338 meV/atom
Total energy: -5.543 eV/atom
Density of states at the Fermi level: 2.7 states/eV per cell
Total magnetic moment: 0.3 μB/f.u.

extended XYZ file:
```
5
Lattice="-1.1098 0.0259 -3.4958 -0.1985 -5.8880 0.0194 -3.4937 0.1214 1.1100" Properties=species:S:1:pos:R:3 pbc="T T T"
Ca -0.0992 -2.9440 0.0097
Co 0.0000 0.0000 0.0000
Cl -2.4010 -2.8704 -1.1832
C -0.5549 0.0129 -1.7479
C -1.7469 0.0607 0.5550
```

Entry from Alexandria via LeMat-Bulk: an optimized crystal structure of CaH6CN3Cl3 (PBE-GGA).

Output
Total energy: -5.289 eV/atom
Density of states at the Fermi level: 0.0 states/eV per cell
Total magnetic moment: 0.1 μB/f.u.

extended XYZ file:
```
56
Lattice="-4.5529 3.7095 6.4182 -0.0320 -6.2381 3.5827 17.3878 0.1713 0.4534" Properties=species:S:1:pos:R:3 pbc="T T T"
N 6.4434 -0.1752 3.2985
N 15.1370 -0.1458 3.5574
N 6.3596 -2.1822 7.1558
N 7.4629 -1.2313 8.9597
N 5.3400 -1.1261 1.4946
N 16.3500 -1.1382 1.8490
N 5.1466 -1.1972 8.8686
N 14.0331 -1.2162 1.8222
N -2.3341 -2.2116 6.8968
N 7.6564 -1.1601 1.5857
N -1.2301 -1.1412 8.6320
N -3.5470 -1.2192 8.6053
Cl 0.2286 0.8977 5.0432
Cl 3.8404 0.9459 5.1283
Cl 2.1198 -0.6440 2.3772
Cl 1.9898 -1.6854 7.7851
Cl 12.5336 0.8898 5.4364
Cl 0.2693 -3.2472 5.0179
Cl 8.9220 0.8684 5.3358
Cl 12.5743 -3.2550 5.4111
Cl 10.6832 -1.7134 8.0770
Cl 3.8810 -3.2258 5.1184
Cl 8.9625 -3.3033 5.3260
Cl 10.8131 -0.6720 2.6691
Ca 10.7739 1.9247 3.5901
Ca 2.0646 -1.1567 5.0840
Ca 10.7384 -1.2007 5.3703
Ca 2.0291 -4.2821 6.8642
H 7.2959 0.0750 3.8001
H 4.2620 -1.4187 8.4108
H 14.2552 0.0978 4.0092
H 4.4287 -0.8969 1.8920
H 9.4769 1.9869 7.3547
H -0.3188 -1.3759 8.2378
H 3.3261 -4.3443 3.0996
H -1.3980 -0.0165 3.5768
H 14.2010 -2.3409 6.8775
H 12.0191 -4.4309 3.4252
H -0.1530 -1.0325 1.8215
H 5.5071 -2.4324 6.6541
H 9.6410 -4.4164 3.3432
H 3.1620 2.0590 7.1111
H 7.2412 -2.4565 6.7216
H 11.8554 2.0467 7.3940
H 0.7839 2.0735 7.0291
H 0.9476 -4.4041 3.0603
H -1.4523 -2.4552 6.4450
H 5.5617 0.0991 3.7326
H 8.3743 -1.4605 8.5623
H 8.5410 -0.9387 2.0435
H 12.9560 -1.3249 8.6328
H 13.1217 -0.9815 2.2164
C 15.1734 -0.8329 2.4093
C -2.3704 -1.5245 8.0450
C 6.4800 -0.8210 2.1266
C 6.3230 -1.5364 8.3277
```

Q: Which value of density of states at the Fermi level does entry 1 give?
A: 2.7 states/eV per cell